No. 1
HgSbP2: optimized geometry, PBE-GGA.

raw total energy	-3.14	eV/atom
crystal system	cubic
formation energy (no corrections)	0.67	eV per atom
energy relative to the lowest polymorph listed for this composition	50.5	kJ per mole of atoms

POSCAR file:
```
HgSbP2
1.0
0.0000 3.4513 3.4513
3.4513 0.0000 3.4513
3.4513 3.4513 0.0000
Hg Sb P
1 1 2
Direct
0.0000 0.0000 0.0000 Hg
0.2500 0.2500 0.2500 Sb
0.5000 0.5000 0.5000 P
0.7500 0.7500 0.7500 P
```

No. 2
HgSb2P: optimized geometry, PBE-GGA.

raw total energy	-3.22	eV/atom
crystal system	tetragonal
formation energy (no corrections)	0.27	eV per atom
energy relative to the lowest polymorph listed for this composition	10.5	kJ per mole of atoms

POSCAR file:
```
HgSb2P
1.0
-3.1422 3.1422 6.5580
3.1422 -3.1422 6.5580
3.1422 3.1422 -6.5580
Hg Sb P
2 4 2
Direct
0.0000 0.0000 0.0000 Hg
0.7500 0.2500 0.5000 Hg
0.1540 0.6250 0.0290 Sb
0.3750 0.4040 0.5290 Sb
0.5960 0.1250 0.9710 Sb
0.8750 0.8460 0.4710 Sb
0.2500 0.7500 0.5000 P
0.5000 0.5000 0.0000 P
```

No. 3
HgSbP2: optimized geometry, PBE-GGA.

raw total energy	-3.66	eV/atom
crystal system	tetragonal
formation energy (no corrections)	0.15	eV per atom
energy relative to the lowest polymorph listed for this composition	0.6	kJ per mole of atoms

POSCAR file:
```
HgSbP2
1.0
3.1653 0.0000 0.0000
0.0000 3.1653 0.0000
0.0000 0.0000 9.5921
Hg Sb P
1 1 2
Direct
0.0000 0.0000 0.0000 Hg
0.5000 0.5000 0.6724 Sb
0.0000 0.0000 0.3289 P
0.5000 0.5000 0.4007 P
```

No. 4
HgSbP2: optimized geometry, PBE-GGA.

raw total energy	-3.46	eV/atom
crystal system	monoclinic
formation energy (no corrections)	0.35	eV per atom
energy relative to the lowest polymorph listed for this composition	19.9	kJ per mole of atoms

POSCAR file:
```
HgSbP2
1.0
2.8670 0.0000 0.0000
0.0000 3.9272 0.0000
-0.2086 0.0000 7.8004
Hg Sb P
1 1 2
Direct
0.0000 0.0000 0.0000 Hg
0.0000 0.0000 0.5000 Sb
0.0152 0.5000 0.7459 P
0.9848 0.5000 0.2541 P
```

No. 5
HgSb2P: optimized geometry, PBE-GGA.

raw total energy	-3.15	eV/atom
crystal system	orthorhombic
formation energy (no corrections)	0.34	eV per atom
energy relative to the lowest polymorph listed for this composition	17.3	kJ per mole of atoms

POSCAR file:
```
HgSb2P
1.0
1.8076 -2.6869 0.0000
1.8076 2.6869 0.0000
0.0000 0.0000 10.1787
Hg Sb P
1 2 1
Direct
0.0000 0.0000 0.0000 Hg
0.5000 0.5000 0.2920 Sb
0.5000 0.5000 0.7080 Sb
0.0000 0.0000 0.5000 P
```

No. 6
HgSb2P: optimized geometry, PBE-GGA.

raw total energy	-3.06	eV/atom
crystal system	tetragonal
formation energy (no corrections)	0.43	eV per atom
energy relative to the lowest polymorph listed for this composition	26.4	kJ per mole of atoms

POSCAR file:
```
HgSb2P
1.0
5.0380 0.0000 0.0000
0.0000 5.0380 0.0000
0.0000 0.0000 3.6970
Hg Sb P
1 2 1
Direct
0.0000 0.0000 0.0000 Hg
0.0000 0.5000 0.5000 Sb
0.5000 0.0000 0.5000 Sb
0.5000 0.5000 0.0000 P
```

No. 7
HgSb2P: optimized geometry, PBE-GGA.

raw total energy	-3.20	eV/atom
crystal system	tetragonal
formation energy (no corrections)	0.29	eV per atom
energy relative to the lowest polymorph listed for this composition	12.9	kJ per mole of atoms

POSCAR file:
```
HgSb2P
1.0
3.6144 0.0000 0.0000
0.0000 3.6144 0.0000
0.0000 0.0000 7.9776
Hg Sb P
1 2 1
Direct
0.0000 0.0000 0.0000 Hg
0.5000 0.5000 0.3184 Sb
0.5000 0.5000 0.6816 Sb
0.0000 0.0000 0.5000 P
```

No. 8
HgSbP3: optimized geometry, PBE-GGA.

raw total energy	-2.96	eV/atom
crystal system	cubic
formation energy (no corrections)	1.17	eV per atom
energy relative to the lowest polymorph listed for this composition	0.0	kJ per mole of atoms

POSCAR file:
```
HgSbP3
1.0
5.0936 0.0000 0.0000
0.0000 5.0936 0.0000
0.0000 0.0000 5.0936
Hg Sb P
1 1 3
Direct
0.0000 0.0000 0.0000 Hg
0.5000 0.5000 0.5000 Sb
0.0000 0.5000 0.5000 P
0.5000 0.0000 0.5000 P
0.5000 0.5000 0.0000 P
```

No. 9
HgSb2P: optimized geometry, PBE-GGA.

raw total energy	-3.20	eV/atom
crystal system	monoclinic
formation energy (no corrections)	0.29	eV per atom
energy relative to the lowest polymorph listed for this composition	12.3	kJ per mole of atoms

POSCAR file:
```
HgSb2P
1.0
5.2769 -1.7924 0.0000
5.2769 1.7924 0.0000
-1.4064 0.0000 5.8501
Hg Sb P
1 2 1
Direct
0.0000 0.0000 0.0000 Hg
0.2333 0.2333 0.6913 Sb
0.4786 0.4786 0.4503 Sb
0.7758 0.7758 0.3862 P
```

No. 10
HgSb2P: optimized geometry, PBE-GGA.

raw total energy	-3.30	eV/atom
crystal system	monoclinic
formation energy (no corrections)	0.19	eV per atom
energy relative to the lowest polymorph listed for this composition	3.0	kJ per mole of atoms

POSCAR file:
```
HgSb2P
1.0
3.0348 0.0000 0.0000
0.0000 4.0038 0.0000
-0.0377 0.0000 8.4811
Hg Sb P
1 2 1
Direct
0.0000 0.0000 0.0000 Hg
0.0025 0.5000 0.7231 Sb
0.9975 0.5000 0.2769 Sb
0.0000 0.0000 0.5000 P
```

No. 11
Hg2Sb2P: optimized geometry, PBE-GGA.

raw total energy	-2.52	eV/atom
crystal system	tetragonal
formation energy (no corrections)	0.33	eV per atom
energy relative to the lowest polymorph listed for this composition	0.0	kJ per mole of atoms

POSCAR file:
```
Hg2Sb2P
1.0
7.5798 0.0000 0.0000
0.0000 7.5798 0.0000
0.0000 0.0000 4.7329
Hg Sb P
4 4 2
Direct
0.1376 0.3624 0.0000 Hg
0.3624 0.8624 0.0000 Hg
0.6376 0.1376 0.0000 Hg
0.8624 0.6376 0.0000 Hg
0.2018 0.7018 0.5000 Sb
0.2982 0.2018 0.5000 Sb
0.7018 0.7982 0.5000 Sb
0.7982 0.2982 0.5000 Sb
0.0000 0.0000 0.5000 P
0.5000 0.5000 0.5000 P
```

No. 12
HgSbP2: optimized geometry, PBE-GGA.

raw total energy	-3.17	eV/atom
crystal system	orthorhombic
formation energy (no corrections)	0.65	eV per atom
energy relative to the lowest polymorph listed for this composition	48.3	kJ per mole of atoms

POSCAR file:
```
HgSbP2
1.0
-1.8279 2.3701 4.9286
1.8279 -2.3701 4.9286
1.8279 2.3701 -4.9286
Hg Sb P
1 1 2
Direct
0.0000 0.0000 0.0000 Hg
0.5000 0.5000 0.0000 Sb
0.2857 0.7857 0.5000 P
0.7143 0.2143 0.5000 P
```

No. 13
Sr2HgSbP: optimized geometry, PBE-GGA.

raw total energy	-3.45	eV/atom
crystal system	monoclinic
formation energy (no corrections)	-0.81	eV per atom

POSCAR file:
```
Sr2HgSbP
1.0
7.9957 0.0000 0.0000
0.0000 4.5396 0.0000
-2.6897 0.0000 8.9816
Sr Hg Sb P
4 2 2 2
Direct
0.1806 0.2500 0.3936 Sr
0.2117 0.2500 0.9682 Sr
0.7883 0.7500 0.0318 Sr
0.8194 0.7500 0.6064 Sr
0.4932 0.7500 0.2614 Hg
0.5068 0.2500 0.7386 Hg
0.2809 0.7500 0.6965 Sb
0.7191 0.2500 0.3035 Sb
0.1683 0.7500 0.1766 P
0.8317 0.2500 0.8234 P
```

No. 14
HgSbTe2P: optimized geometry, PBE-GGA.

raw total energy	-2.05	eV/atom
crystal system	tetragonal
formation energy (no corrections)	1.18	eV per atom
energy relative to the lowest polymorph listed for this composition	68.4	kJ per mole of atoms

POSCAR file:
```
HgSbTe2P
1.0
5.5550 0.0000 0.0000
0.0000 5.5550 0.0000
0.0000 0.0000 5.5908
Hg Sb Te P
1 1 2 1
Direct
0.0000 0.0000 0.0000 Hg
0.0000 0.0000 0.5000 Sb
0.0000 0.5000 0.0000 Te
0.5000 0.0000 0.0000 Te
0.5000 0.5000 0.5000 P
```

No. 15
HgSbTe2P: optimized geometry, PBE-GGA.

raw total energy	-2.76	eV/atom
crystal system	tetragonal
formation energy (no corrections)	0.47	eV per atom
energy relative to the lowest polymorph listed for this composition	0.0	kJ per mole of atoms

POSCAR file:
```
HgSbTe2P
1.0
5.3956 0.0000 0.0000
0.0000 5.3956 0.0000
0.0000 0.0000 5.1603
Hg Sb Te P
1 1 2 1
Direct
0.0000 0.0000 0.0000 Hg
0.5000 0.5000 0.0000 Sb
0.0000 0.5000 0.5000 Te
0.5000 0.0000 0.5000 Te
0.5000 0.5000 0.5000 P
```

No. 16
Sc2HgP: optimized geometry, PBE-GGA.

raw total energy	-5.26	eV/atom
DFT formation energy	-671	meV per atom
crystal system	orthorhombic
energy relative to the lowest polymorph listed for this composition	24.1	kJ per mole of atoms

POSCAR file:
```
Sc2HgP
1.0
-1.7324 1.8272 6.9715
1.7324 -1.8272 6.9715
1.7324 1.8272 -6.9715
Sc Hg P
2 1 1
Direct
0.0000 0.0000 0.0000 Sc
0.7043 0.2043 0.5000 Sc
0.3180 0.8180 0.5000 Hg
0.5596 0.5596 0.0000 P
```

No. 17
Sc2HgP: optimized geometry, PBE-GGA.

raw total energy	-5.22	eV/atom
DFT formation energy	-625	meV per atom
crystal system	orthorhombic
energy relative to the lowest polymorph listed for this composition	28.6	kJ per mole of atoms

POSCAR file:
```
Sc2HgP
1.0
-1.9173 2.6480 4.0448
1.9173 -2.6480 4.0448
1.9173 2.6480 -4.0448
Sc Hg P
2 1 1
Direct
0.2185 0.2185 0.0000 Sc
0.7815 0.7815 0.0000 Sc
0.5000 0.0000 0.5000 Hg
0.0000 0.5000 0.5000 P
```

No. 18
ScHg3P: optimized geometry, PBE-GGA.

raw total energy	-1.70	eV/atom
DFT formation energy	826	meV per atom
crystal system	cubic
energy relative to the lowest polymorph listed for this composition	35.6	kJ per mole of atoms

POSCAR file:
```
ScHg3P
1.0
5.4526 0.0000 0.0000
0.0000 5.4526 0.0000
0.0000 0.0000 5.4526
Sc Hg P
1 3 1
Direct
0.0000 0.0000 0.0000 Sc
0.0000 0.0000 0.5000 Hg
0.0000 0.5000 0.0000 Hg
0.5000 0.0000 0.0000 Hg
0.5000 0.5000 0.5000 P
```

No. 19
Sc2HgP: optimized geometry, PBE-GGA.

raw total energy	-5.31	eV/atom
DFT formation energy	-716	meV per atom
crystal system	tetragonal
energy relative to the lowest polymorph listed for this composition	19.8	kJ per mole of atoms

POSCAR file:
```
Sc2HgP
1.0
3.4408 0.0000 0.0000
0.0000 3.4408 0.0000
0.0000 0.0000 6.5760
Sc Hg P
2 1 1
Direct
0.0000 0.0000 0.2167 Sc
0.0000 0.0000 0.7833 Sc
0.5000 0.5000 0.5000 Hg
0.5000 0.5000 0.0000 P
```

No. 20
Sc2HgP: optimized geometry, PBE-GGA.

raw total energy	-5.51	eV/atom
DFT formation energy	-921	meV per atom
crystal system	trigonal
energy relative to the lowest polymorph listed for this composition	0.0	kJ per mole of atoms

POSCAR file:
```
Sc2HgP
1.0
1.8269 1.0548 7.4053
-1.8269 1.0548 7.4053
0.0000 -2.1095 7.4053
Sc Hg P
2 1 1
Direct
0.2338 0.2338 0.2338 Sc
0.7662 0.7662 0.7662 Sc
0.0000 0.0000 0.0000 Hg
0.5000 0.5000 0.5000 P
```

No. 21
Sc2HgP: optimized geometry, PBE-GGA.

raw total energy	-5.29	eV/atom
DFT formation energy	-699	meV per atom
crystal system	orthorhombic
energy relative to the lowest polymorph listed for this composition	21.5	kJ per mole of atoms

POSCAR file:
```
Sc2HgP
1.0
2.0679 -2.5376 0.0000
2.0679 2.5376 0.0000
0.0000 0.0000 7.6278
Sc Hg P
2 1 1
Direct
0.0000 0.0000 0.2104 Sc
0.0000 0.0000 0.7896 Sc
0.5000 0.5000 0.5000 Hg
0.5000 0.5000 0.0000 P
```

No. 22
Sc2HgP: optimized geometry, PBE-GGA.

raw total energy	-4.59	eV/atom
DFT formation energy	7	meV per atom
crystal system	trigonal
energy relative to the lowest polymorph listed for this composition	89.6	kJ per mole of atoms

POSCAR file:
```
Sc2HgP
1.0
1.6612 0.9591 9.7294
-1.6612 0.9591 9.7294
0.0000 -1.9182 9.7294
Sc Hg P
2 1 1
Direct
0.0863 0.0863 0.0863 Sc
0.9137 0.9137 0.9137 Sc
0.5000 0.5000 0.5000 Hg
0.0000 0.0000 0.0000 P
```

No. 23
Sc2HgP: optimized geometry, PBE-GGA.

raw total energy	-5.15	eV/atom
DFT formation energy	-558	meV per atom
crystal system	tetragonal
energy relative to the lowest polymorph listed for this composition	35.0	kJ per mole of atoms

POSCAR file:
```
Sc2HgP
1.0
-3.6389 3.6389 3.3611
3.6389 -3.6389 3.3611
3.6389 3.6389 -3.3611
Sc Hg P
4 2 2
Direct
0.0919 0.1250 0.4669 Sc
0.3750 0.9081 0.0331 Sc
0.6581 0.6250 0.5331 Sc
0.8750 0.3419 0.9669 Sc
0.2500 0.7500 0.5000 Hg
0.5000 0.5000 0.0000 Hg
0.0000 0.0000 0.0000 P
0.7500 0.2500 0.5000 P
```

No. 24
Sc2HgP: optimized geometry, PBE-GGA.

raw total energy	-5.24	eV/atom
DFT formation energy	-649	meV per atom
crystal system	tetragonal
energy relative to the lowest polymorph listed for this composition	26.2	kJ per mole of atoms

POSCAR file:
```
Sc2HgP
1.0
3.9350 0.0000 0.0000
0.0000 3.9350 0.0000
0.0000 0.0000 5.5926
Sc Hg P
2 1 1
Direct
0.0000 0.0000 0.0000 Sc
0.5000 0.5000 0.5000 Sc
0.0000 0.0000 0.5000 Hg
0.5000 0.5000 0.0000 P
```

No. 25
Sc4HgP: optimized geometry, PBE-GGA.

raw total energy	-4.92	eV/atom
DFT formation energy	249	meV per atom
crystal system	cubic

POSCAR file:
```
Sc4HgP
1.0
0.0000 4.0435 4.0435
4.0435 0.0000 4.0435
4.0435 4.0435 0.0000
Sc Hg P
4 1 1
Direct
0.1253 0.1253 0.1253 Sc
0.1253 0.1253 0.6241 Sc
0.1253 0.6241 0.1253 Sc
0.6241 0.1253 0.1253 Sc
0.7500 0.7500 0.7500 Hg
0.5000 0.5000 0.5000 P
```

No. 26
ScHgP3: optimized geometry, PBE-GGA.

raw total energy	-3.67	eV/atom
DFT formation energy	903	meV per atom
crystal system	cubic
energy relative to the lowest polymorph listed for this composition	42.1	kJ per mole of atoms

POSCAR file:
```
ScHgP3
1.0
4.9182 0.0000 0.0000
0.0000 4.9182 0.0000
0.0000 0.0000 4.9182
Sc Hg P
1 1 3
Direct
0.0000 0.0000 0.0000 Sc
0.5000 0.5000 0.5000 Hg
0.0000 0.5000 0.5000 P
0.5000 0.0000 0.5000 P
0.5000 0.5000 0.0000 P
```

No. 27
ScHg3P: optimized geometry, PBE-GGA.

raw total energy	-2.07	eV/atom
DFT formation energy	456	meV per atom
crystal system	cubic
energy relative to the lowest polymorph listed for this composition	0.0	kJ per mole of atoms

POSCAR file:
```
ScHg3P
1.0
5.0570 0.0000 0.0000
0.0000 5.0570 0.0000
0.0000 0.0000 5.0570
Sc Hg P
1 3 1
Direct
0.0000 0.0000 0.0000 Sc
0.0000 0.5000 0.5000 Hg
0.5000 0.0000 0.5000 Hg
0.5000 0.5000 0.0000 Hg
0.5000 0.5000 0.5000 P
```

No. 28
ScHgP3: optimized geometry, PBE-GGA.

raw total energy	-4.11	eV/atom
DFT formation energy	467	meV per atom
crystal system	cubic
energy relative to the lowest polymorph listed for this composition	0.0	kJ per mole of atoms

POSCAR file:
```
ScHgP3
1.0
4.9582 0.0000 0.0000
0.0000 4.9582 0.0000
0.0000 0.0000 4.9582
Sc Hg P
1 1 3
Direct
0.0000 0.0000 0.0000 Sc
0.5000 0.5000 0.5000 Hg
0.0000 0.0000 0.5000 P
0.0000 0.5000 0.0000 P
0.5000 0.0000 0.0000 P
```

No. 29
Sc2HgP: optimized geometry, PBE-GGA.

raw total energy	-4.52	eV/atom
DFT formation energy	71	meV per atom
crystal system	cubic
energy relative to the lowest polymorph listed for this composition	95.8	kJ per mole of atoms

POSCAR file:
```
Sc2HgP
1.0
0.0000 3.4554 3.4554
3.4554 0.0000 3.4554
3.4554 3.4554 0.0000
Sc Hg P
2 1 1
Direct
0.0000 0.0000 0.0000 Sc
0.2500 0.2500 0.2500 Sc
0.7500 0.7500 0.7500 Hg
0.5000 0.5000 0.5000 P
```